Entry 1:
YHfRh2Au: relaxed, GGA-PBE.

Output
The formation enthalpy at 0 K is 0.1 kJ/mol of atoms. Its density of states at the Fermi level is 2.77 states/eV/cell.

a = 4.7546 Å, b = 4.7546 Å, c = 5.1868 Å
α = 90.00°, β = 90.00°, γ = 90.00°
Space group P4/mmm (No. 123)
Inequivalent atoms, fractional coordinates:
Y1 0.0000 0.0000 0.0000
Hf1 0.5000 0.5000 0.5000
Rh1 0.0000 0.5000 0.5000
Au1 0.5000 0.5000 0.0000


Entry 2:
ScPaRuAu: relaxed, GGA-PBE.

Output
The formation enthalpy at 0 K is -37.5 kJ/mol of atoms. Its density of states at the Fermi level is 22.57 states/eV/cell.

a = 6.8710 Å, b = 6.8710 Å, c = 6.8710 Å
α = 90.00°, β = 90.00°, γ = 90.00°
Space group F-43m (No. 216)
Inequivalent atoms, fractional coordinates:
Sc1 0.0000 0.0000 0.0000
Pa1 0.0000 0.0000 0.5000
Ru1 0.2500 0.2500 0.7500
Au1 0.2500 0.2500 0.2500


Entry 3:
NbI2O2: relaxed, GGA-PBE.

Output
For the offset from the most stable computed form, the calculation gives 1357 meV per atom. The calculation puts the uncorrected formation energy at 0.5561 eV per atom. Its density of states at the Fermi level is 4.45 states/eV/cell.

a = 4.0954 Å, b = 4.0954 Å, c = 7.7312 Å
α = 90.00°, β = 90.00°, γ = 90.00°
Space group P4/mmm (No. 123)
Inequivalent atoms, fractional coordinates:
Nb1 0.0000 0.0000 0.0000
I1 0.5000 0.5000 0.0000
I2 0.5000 0.5000 0.5000
O1 0.0000 0.5000 0.5000


Entry 4:
Sr3In9Ge2: relaxed, GGA-PBE.

Output
The formation enthalpy at 0 K is -26.2 kJ/mol of atoms. Its density of states at the Fermi level is 10.72 states/eV/cell.

a = 5.2052 Å, b = 10.9500 Å, c = 13.7846 Å
α = 90.00°, β = 90.00°, γ = 90.00°
Space group Immm (No. 71)
Inequivalent atoms, fractional coordinates:
Sr1 0.0000 0.0000 0.0000
Sr2 0.0000 0.0000 0.3120
In1 0.0000 0.2747 0.1390
In2 0.0000 0.3671 0.3462
In3 0.0000 0.5000 0.0000
Ge1 0.0000 0.1940 0.5000


Entry 5:
Hf6CdC: relaxed, GGA-PBE.

Output
The formation enthalpy at 0 K is -17.7 kJ/mol of atoms. Its density of states at the Fermi level is 21.49 states/eV/cell.

a = 8.5031 Å, b = 8.5031 Å, c = 7.7566 Å
α = 90.00°, β = 90.00°, γ = 120.00°
Space group R-3 (No. 148, hexagonal axes)
Inequivalent atoms, fractional coordinates:
Hf1 0.0620 0.2407 0.1635
Cd1 0.0000 0.0000 0.5000
C1 0.0000 0.0000 0.0000


Entry 6:
Y2Mg3: relaxed, GGA-PBE.

Output
For the offset from the most stable computed form, the calculation gives 118 meV per atom. The formation enthalpy at 0 K is 2.7 kJ/mol of atoms. Its density of states at the Fermi level is 21.71 states/eV/cell.

a = 11.3211 Å, b = 29.2822 Å, c = 3.2672 Å
α = 90.00°, β = 90.00°, γ = 90.00°
Space group Fdd2 (No. 43)
Inequivalent atoms, fractional coordinates:
Y1 0.0001 0.1976 0.0000
Mg1 0.0000 0.0000 0.0018
Mg2 0.0002 0.0977 0.5009


Entry 7:
VCo2P2: relaxed, GGA-PBE.

Output
The formation enthalpy at 0 K is -39.3 kJ/mol of atoms. Its density of states at the Fermi level is 10.29 states/eV/cell.

a = 6.5452 Å, b = 6.5452 Å, c = 2.6221 Å
α = 90.00°, β = 90.00°, γ = 90.00°
Space group P4/mbm (No. 127)
Inequivalent atoms, fractional coordinates:
V1 0.0000 0.0000 0.0000
Co1 0.1398 0.3602 0.5000
P1 0.1571 0.6571 0.0000


Entry 8:
Pr2AgAs3Pd4: relaxed, GGA-PBE.

Output
The formation enthalpy at 0 K is -74.6 kJ/mol of atoms. Its density of states at the Fermi level is 4.77 states/eV/cell.

a = 4.3053 Å, b = 4.3053 Å, c = 10.7593 Å
α = 90.00°, β = 90.00°, γ = 90.00°
Space group P-4m2 (No. 115)
Inequivalent atoms, fractional coordinates:
Pr1 0.0000 0.5000 0.2380
Ag1 0.0000 0.0000 0.5000
As1 0.0000 0.5000 0.8681
As2 0.5000 0.5000 0.5000
Pd1 0.0000 0.0000 0.0000
Pd2 0.0000 0.5000 0.6432
Pd3 0.5000 0.5000 0.0000


Entry 9:
Pa5Tc4Ge2: relaxed, GGA-PBE.

Output
The formation enthalpy at 0 K is -0.2 kJ/mol of atoms. Its density of states at the Fermi level is 20.96 states/eV/cell.

a = 21.5507 Å, b = 3.3020 Å, c = 6.7890 Å
α = 90.00°, β = 95.48°, γ = 90.00°
Space group C2/m (No. 12)
Inequivalent atoms, fractional coordinates:
Pa1 0.0000 0.0000 0.0000
Pa2 0.1488 0.5000 0.9786
Pa3 0.1762 0.5000 0.4806
Tc1 0.0654 0.5000 0.2528
Tc2 0.2499 0.0000 0.2083
Ge1 0.0506 0.5000 0.6407


Entry 10:
Tb3Sm8Ho4: relaxed, GGA-PBE.

Output
For the offset from the most stable computed form, the calculation gives 197 meV per atom. The formation enthalpy at 0 K is 34.0 kJ/mol of atoms. Its density of states at the Fermi level is 47.43 states/eV/cell.

a = 13.7241 Å, b = 12.1198 Å, c = 6.8596 Å
α = 90.00°, β = 118.32°, γ = 90.00°
Space group C2/m (No. 12)
Inequivalent atoms, fractional coordinates:
Tb1 0.0000 0.0000 0.0000
Tb2 0.2500 0.2500 0.5000
Sm1 0.0000 0.2040 0.5000
Sm2 0.0000 0.2525 0.0000
Sm3 0.2028 0.0000 0.6770
Sm4 0.2458 0.5000 0.7845
Ho1 0.0000 0.5000 0.0000
Ho2 0.0000 0.5000 0.5000
Ho3 0.2500 0.2500 0.0000


Entry 11:
NaLi2Ag9: relaxed, GGA-PBE.

Output
For the offset from the most stable computed form, the calculation gives 0 meV per atom. The formation enthalpy at 0 K is -6.8 kJ/mol of atoms. Its density of states at the Fermi level is 6.86 states/eV/cell.

a = 4.1462 Å, b = 4.1462 Å, c = 12.3885 Å
α = 90.00°, β = 90.00°, γ = 90.00°
Space group P4/mmm (No. 123)
Inequivalent atoms, fractional coordinates:
Na1 0.0000 0.0000 0.0000
Li1 0.0000 0.0000 0.3388
Ag1 0.0000 0.5000 0.1769
Ag2 0.0000 0.5000 0.5000
Ag3 0.5000 0.5000 0.0000
Ag4 0.5000 0.5000 0.3380


Entry 12:
Ho4Sb2Te: relaxed, GGA-PBE.

Output
The calculation puts the uncorrected formation energy at -1.0008 eV per atom. Its density of states at the Fermi level is 28.12 states/eV/cell.

a = 9.1157 Å, b = 9.1157 Å, c = 9.1651 Å
α = 90.00°, β = 90.00°, γ = 90.00°
Space group I-42d (No. 122)
Inequivalent atoms, fractional coordinates:
Ho1 0.0742 0.1775 0.3037
Sb1 0.1255 0.2500 0.6250
Te1 0.0000 0.0000 0.0000


Entry 13:
Te2As2Br: relaxed, GGA-PBE.

Output
For the offset from the most stable computed form, the calculation gives 199 meV per atom. The calculation puts the uncorrected formation energy at 0.1993 eV per atom. Its density of states at the Fermi level is 4.76 states/eV/cell.

a = 8.8558 Å, b = 8.8558 Å, c = 3.5885 Å
α = 90.00°, β = 90.00°, γ = 90.00°
Space group P4/mbm (No. 127)
Inequivalent atoms, fractional coordinates:
Te1 0.1571 0.3429 0.0000
As1 0.0993 0.5993 0.5000
Br1 0.0000 0.0000 0.0000


Entry 14:
YTeP2: relaxed, GGA-PBE.

Output
The calculation puts the uncorrected formation energy at -0.3474 eV per atom. Its density of states at the Fermi level is 3.43 states/eV/cell.

a = 6.2411 Å, b = 7.2649 Å, c = 3.7109 Å
α = 90.00°, β = 90.00°, γ = 90.00°
Space group Cmmm (No. 65)
Inequivalent atoms, fractional coordinates:
Y1 0.0000 0.0000 0.0000
Te1 0.0000 0.5000 0.0000
P1 0.2500 0.2500 0.5000


Entry 15:
Sc3BiH2: relaxed, GGA-PBE.

Output
The total energy comes out at -5.38 eV/atom. Its density of states at the Fermi level is 18.47 states/eV/cell.

a = 21.0578 Å, b = 3.4914 Å, c = 5.8962 Å
α = 90.00°, β = 101.92°, γ = 90.00°
Space group C2/m (No. 12)
Inequivalent atoms, fractional coordinates:
Sc1 0.0300 0.0000 0.2670
Sc2 0.1048 0.5000 0.8856
Sc3 0.2341 0.0000 0.2059
Bi1 0.1472 0.5000 0.4359
H1 0.0594 0.0000 0.9498
H2 0.2067 0.5000 0.0198


Entry 16:
Tm8Mg2Zn: relaxed, GGA-PBE.

Output
The formation enthalpy at 0 K is 0.8 kJ/mol of atoms. Its density of states at the Fermi level is 24.10 states/eV/cell.

a = 17.6125 Å, b = 5.2764 Å, c = 6.8845 Å
α = 90.00°, β = 107.47°, γ = 90.00°
Space group C2/m (No. 12)
Inequivalent atoms, fractional coordinates:
Tm1 0.0190 0.0000 0.2738
Tm2 0.0957 0.5000 0.9439
Tm3 0.1575 0.5000 0.4550
Tm4 0.1937 0.0000 0.7719
Mg1 0.1858 0.0000 0.2076
Zn1 0.0000 0.5000 0.5000


Entry 17:
ScSi2As: relaxed, GGA-PBE.

Output
The calculation puts the uncorrected formation energy at -0.2654 eV per atom. Its density of states at the Fermi level is 4.09 states/eV/cell.

a = 10.2653 Å, b = 3.7461 Å, c = 3.7546 Å
α = 90.00°, β = 107.90°, γ = 90.00°
Space group C2/m (No. 12)
Inequivalent atoms, fractional coordinates:
Sc1 0.0000 0.0000 0.0000
Si1 0.2488 0.5000 0.2491
As1 0.0000 0.5000 0.5000


Entry 18:
Ca3HoSc3Te8: relaxed, GGA-PBE.

Output
The calculation puts the uncorrected formation energy at -1.3899 eV per atom. Its density of states at the Fermi level is 17.31 states/eV/cell.

a = 8.5308 Å, b = 8.5308 Å, c = 21.6982 Å
α = 90.00°, β = 90.00°, γ = 120.00°
Space group R-3m (No. 166, hexagonal axes)
Inequivalent atoms, fractional coordinates:
Ca1 0.0000 0.5000 0.0000
Ho1 0.0000 0.0000 0.5000
Sc1 0.0000 0.5000 0.5000
Te1 0.0000 0.0000 0.2437
Te2 0.0132 0.5066 0.7540


Entry 19:
Cr2HgOs: relaxed, GGA-PBE.

Output
The formation enthalpy at 0 K is 61.5 kJ/mol of atoms. Its density of states at the Fermi level is 5.31 states/eV/cell.

a = 4.5579 Å, b = 4.5579 Å, c = 2.9825 Å
α = 90.00°, β = 90.00°, γ = 90.00°
Space group P4/mmm (No. 123)
Inequivalent atoms, fractional coordinates:
Cr1 0.0000 0.5000 0.0000
Hg1 0.0000 0.0000 0.5000
Os1 0.5000 0.5000 0.5000


Entry 20:
NaTl6Cd: relaxed, GGA-PBE.

Output
For the offset from the most stable computed form, the calculation gives 24 meV per atom. The formation enthalpy at 0 K is 0.0 kJ/mol of atoms. Its density of states at the Fermi level is 15.14 states/eV/cell.

a = 11.0744 Å, b = 11.0744 Å, c = 6.8584 Å
α = 90.00°, β = 90.00°, γ = 120.00°
Space group R-3m (No. 166, hexagonal axes)
Inequivalent atoms, fractional coordinates:
Na1 0.0000 0.0000 0.0000
Tl1 0.0085 0.5043 0.2565
Cd1 0.0000 0.0000 0.5000